DFT (PBE) results for an optimized crystal structure of Pr4Sm2ErTm2.

Total energy   -4.65 eV per atom
E_form   2.5 kJ per mole of atoms

extended XYZ file:
```
9
Lattice="7.7128 -2.5689 0.0000 7.7128 2.5689 0.0000 -2.5728 0.0000 7.6427" Properties=species:S:1:pos:R:3 pbc="T T T"
Pr -0.0124 0.0000 2.5187
Pr 2.5594 0.0000 5.1259
Pr 10.2934 0.0000 2.5168
Pr 12.8653 0.0000 5.1240
Sm 5.1432 0.0000 2.5136
Sm 7.7097 0.0000 5.1291
Er 7.7128 0.0000 0.0000
Tm 0.0058 0.0000 7.6398
Tm 12.8470 0.0000 0.0029
```